{
  "formula": "Li5Cd3Pd2",
  "functional": "PBE",
  "state": "optimized geometry",
  "crystal_system": "orthorhombic",
  "volume_a3_per_cell": 357.0,
  "lattice": [[-1.281, 4.180, -2.990], [-3.685, -3.037, -7.358], [-7.080, 3.744, 3.576]],
  "species": ["Li", "Li", "Cd", "Li", "Li", "Cd", "Li", "Pd", "Cd", "Cd", "Pd", "Li", "Li", "Cd", "Li", "Cd", "Pd", "Pd", "Li", "Li"],
  "frac_coords": [[0.496, 0.254, 0.254], [0.750, 0.500, 0.500], [0.250, 0.000, 0.000], [0.379, 0.791, 0.451], [0.121, 0.549, 0.209], [0.401, 0.299, 0.900], [0.004, 0.746, 0.746], [0.797, 0.356, 0.051], [0.750, 0.000, 0.000], [0.599, 0.701, 0.100], [0.297, 0.051, 0.356], [0.996, 0.254, 0.254], [0.504, 0.746, 0.746], [0.099, 0.100, 0.701], [0.621, 0.209, 0.549], [0.901, 0.900, 0.299], [0.703, 0.949, 0.644], [0.203, 0.644, 0.949], [0.879, 0.451, 0.791], [0.250, 0.500, 0.500]]
}

{
  "formula": "LiCd6Pd12",
  "functional": "PBE",
  "state": "optimized geometry",
  "crystal_system": "trigonal",
  "volume_a3_per_cell": 323.6,
  "lattice": [[-2.743, -5.687, 2.709], [6.311, -1.745, 2.081], [-1.171, 3.603, 5.731]],
  "species": ["Cd", "Pd", "Cd", "Cd", "Pd", "Pd", "Cd", "Pd", "Pd", "Pd", "Li", "Pd", "Cd", "Pd", "Pd", "Pd", "Pd", "Pd", "Cd"],
  "frac_coords": [[0.287, 0.121, 0.737], [0.540, 0.456, 0.793], [0.121, 0.737, 0.287], [0.879, 0.263, 0.713], [0.207, 0.460, 0.544], [0.961, 0.864, 0.640], [0.713, 0.879, 0.263], [0.793, 0.540, 0.456], [0.544, 0.207, 0.460], [0.456, 0.793, 0.540], [0.000, 0.000, 0.000], [0.640, 0.961, 0.864], [0.263, 0.713, 0.879], [0.039, 0.136, 0.360], [0.360, 0.039, 0.136], [0.864, 0.640, 0.961], [0.136, 0.360, 0.039], [0.460, 0.544, 0.207], [0.737, 0.287, 0.121]]
}

{
  "formula": "LiCdPd2",
  "functional": "PBE",
  "state": "optimized geometry",
  "crystal_system": "tetragonal",
  "volume_a3_per_cell": 63.9,
  "lattice": [[3.589, 0.000, 0.000], [0.000, 4.220, 0.000], [0.000, 0.000, 4.220]],
  "species": ["Cd", "Li", "Pd", "Pd"],
  "frac_coords": [[0.500, 0.000, 0.000], [0.500, 0.500, 0.500], [0.000, 0.000, 0.500], [0.000, 0.500, 0.000]]
}

{
  "formula": "Li2Cd3Pd",
  "functional": "PBE",
  "state": "optimized geometry",
  "polymorph_energy_mev_per_atom": 0,
  "crystal_system": "monoclinic",
  "volume_a3_per_cell": 213.6,
  "lattice": [[4.567, -0.017, 0.019], [2.258, 6.863, 0.010], [-0.029, 0.000, 6.807]],
  "species": ["Li", "Cd", "Cd", "Pd", "Cd", "Cd", "Li", "Li", "Cd", "Cd", "Pd", "Li"],
  "frac_coords": [[0.000, 0.000, 0.000], [0.831, 0.338, 0.752], [0.500, 0.000, 0.748], [0.339, 0.324, 0.000], [0.500, 0.000, 0.252], [0.169, 0.662, 0.248], [0.663, 0.673, 0.500], [0.337, 0.327, 0.500], [0.169, 0.662, 0.752], [0.831, 0.338, 0.248], [0.661, 0.676, 0.000], [0.000, 0.000, 0.500]]
}

{
  "formula": "LiCdPd6",
  "functional": "PBE",
  "state": "optimized geometry",
  "polymorph_energy_mev_per_atom": 0,
  "crystal_system": "monoclinic",
  "volume_a3_per_cell": 124.7,
  "lattice": [[3.815, 0.000, 1.041], [1.745, 4.413, 1.116], [0.026, -0.026, 7.412]],
  "species": ["Pd", "Pd", "Li", "Pd", "Pd", "Pd", "Pd", "Cd"],
  "frac_coords": [[0.501, 0.240, 0.758], [0.247, 0.872, 0.633], [0.000, 0.000, 0.000], [0.499, 0.760, 0.242], [0.251, 0.379, 0.119], [0.753, 0.128, 0.367], [0.749, 0.621, 0.881], [0.000, 0.500, 0.500]]
}

{
  "formula": "Li3Cd2Pd4",
  "functional": "PBE",
  "state": "optimized geometry",
  "polymorph_energy_mev_per_atom": 21,
  "crystal_system": "monoclinic",
  "volume_a3_per_cell": 142.9,
  "lattice": [[-4.252, 1.089, 0.796], [-1.544, -3.337, -3.683], [2.652, -3.112, 5.922]],
  "species": ["Pd", "Li", "Pd", "Cd", "Cd", "Pd", "Pd", "Li", "Li"],
  "frac_coords": [[0.786, 0.672, 0.572], [0.110, 0.640, 0.220], [0.561, 0.341, 0.122], [0.339, 0.020, 0.678], [0.661, 0.980, 0.322], [0.439, 0.659, 0.878], [0.214, 0.328, 0.428], [0.000, 0.000, 0.000], [0.890, 0.360, 0.780]]
}

{
  "formula": "Li7CdPd4",
  "functional": "PBE",
  "state": "optimized geometry",
  "polymorph_energy_mev_per_atom": 141,
  "crystal_system": "monoclinic",
  "volume_a3_per_cell": 181.4,
  "lattice": [[-0.074, 4.739, -0.113], [-4.328, 2.138, -6.950], [-3.859, 2.375, 2.715]],
  "species": ["Pd", "Cd", "Li", "Pd", "Li", "Pd", "Li", "Li", "Li", "Pd", "Li", "Li"],
  "frac_coords": [[0.633, 0.213, 0.521], [0.000, 0.000, 0.000], [0.787, 0.906, 0.520], [0.297, 0.304, 0.101], [0.500, 0.000, 0.000], [0.703, 0.696, 0.899], [0.340, 0.547, 0.774], [0.962, 0.373, 0.703], [0.213, 0.094, 0.480], [0.367, 0.787, 0.479], [0.038, 0.627, 0.297], [0.660, 0.453, 0.226]]
}

{
  "formula": "Li3Cd2Pd7",
  "functional": "PBE",
  "state": "optimized geometry",
  "crystal_system": "orthorhombic",
  "volume_a3_per_cell": 210.8,
  "lattice": [[4.511, 0.000, 0.000], [0.000, 4.518, -0.897], [0.000, -0.282, 10.400]],
  "species": ["Pd", "Pd", "Pd", "Pd", "Pd", "Pd", "Cd", "Li", "Li", "Cd", "Li", "Pd"],
  "frac_coords": [[0.000, 0.573, 0.146], [0.000, 0.284, 0.567], [0.000, 0.000, 0.000], [0.500, 0.930, 0.860], [0.000, 0.716, 0.433], [0.000, 0.427, 0.854], [0.000, 0.147, 0.294], [0.500, 0.348, 0.695], [0.500, 0.500, 0.000], [0.000, 0.853, 0.706], [0.500, 0.652, 0.305], [0.500, 0.070, 0.140]]
}

{
  "formula": "Li2Cd6Pd3",
  "functional": "PBE",
  "state": "optimized geometry",
  "crystal_system": "tetragonal",
  "volume_a3_per_cell": 209.4,
  "lattice": [[-0.581, 2.091, -3.361], [3.067, -1.909, -1.718], [-9.426, -9.335, -1.797]],
  "species": ["Li", "Cd", "Cd", "Cd", "Pd", "Cd", "Cd", "Cd", "Li", "Pd", "Pd"],
  "frac_coords": [[0.461, 0.461, 0.922], [0.292, 0.292, 0.584], [0.893, 0.393, 0.786], [0.107, 0.607, 0.214], [0.000, 0.000, 0.000], [0.607, 0.107, 0.214], [0.708, 0.708, 0.416], [0.393, 0.893, 0.786], [0.539, 0.539, 0.078], [0.813, 0.813, 0.626], [0.187, 0.187, 0.374]]
}

{
  "formula": "LiCd4Pd5",
  "functional": "PBE",
  "state": "optimized geometry",
  "crystal_system": "tetragonal",
  "volume_a3_per_cell": 168.4,
  "lattice": [[-0.820, 2.031, 2.433], [-3.027, 0.243, -1.223], [-4.506, -12.265, 8.721]],
  "species": ["Cd", "Cd", "Pd", "Cd", "Cd", "Pd", "Li", "Pd", "Pd", "Pd"],
  "frac_coords": [[0.000, 0.000, 0.397], [0.000, 0.000, 0.811], [0.500, 0.500, 0.500], [0.000, 0.000, 0.189], [0.000, 0.000, 0.603], [0.500, 0.500, 0.294], [0.000, 0.000, 0.000], [0.500, 0.500, 0.706], [0.500, 0.500, 0.089], [0.500, 0.500, 0.911]]
}

{
  "formula": "Li5Cd4Pd3",
  "functional": "PBE",
  "state": "optimized geometry",
  "crystal_system": "monoclinic",
  "volume_a3_per_cell": 209.0,
  "lattice": [[-1.713, -3.609, -2.753], [2.720, -6.049, 1.964], [-7.270, -1.027, 1.594]],
  "species": ["Li", "Cd", "Li", "Cd", "Li", "Pd", "Pd", "Cd", "Li", "Cd", "Pd", "Li"],
  "frac_coords": [[0.500, 0.500, 0.500], [0.151, 0.765, 0.933], [0.350, 0.082, 0.219], [0.852, 0.910, 0.386], [0.198, 0.473, 0.132], [0.000, 0.500, 0.500], [0.474, 0.306, 0.747], [0.148, 0.090, 0.614], [0.802, 0.527, 0.868], [0.849, 0.235, 0.067], [0.526, 0.694, 0.253], [0.650, 0.918, 0.781]]
}

{
  "formula": "LiCd6Pd5",
  "functional": "PBE",
  "state": "optimized geometry",
  "crystal_system": "monoclinic",
  "volume_a3_per_cell": 210.6,
  "lattice": [[-5.863, 3.132, -5.070], [-3.024, -2.593, -1.937], [-5.584, -0.455, 4.261]],
  "species": ["Pd", "Cd", "Cd", "Cd", "Pd", "Li", "Pd", "Pd", "Cd", "Pd", "Cd", "Cd"],
  "frac_coords": [[0.500, 0.835, 0.330], [0.250, 0.582, 0.336], [0.750, 0.750, 0.000], [0.750, 0.418, 0.664], [0.500, 0.500, 0.000], [0.000, 0.000, 0.000], [0.500, 0.165, 0.670], [0.000, 0.664, 0.671], [0.250, 0.918, 0.664], [0.000, 0.336, 0.329], [0.750, 0.082, 0.336], [0.250, 0.250, 0.000]]
}

| no. | total energy (eV per atom) | formation energy (kJ/mol of atoms) | spin magnetization (μB/f.u.) |
| --- | --- | --- | --- |
| 1 | -2.403 | -12.8 | 0.0 |
| 2 | -3.893 | -21.6 | 0.0 |
| 3 | -3.736 | -41.7 | 0.0 |
| 4 | -2.288 | -31.5 | 0.0 |
| 5 | -4.490 | -23.3 | 0.0 |
| 6 | -3.543 | -38.0 | 0.0 |
| 7 | -3.142 | -21.0 | 0.0 |
| 8 | -3.909 | -24.0 | 0.0 |
| 9 | -2.345 | -7.9 | 0.0 |
| 10 | -3.558 | -39.0 | 0.0 |
| 11 | -2.668 | -25.8 | 0.0 |
| 12 | -3.176 | -38.1 | 0.0 |